Record 1
An optimized crystal structure of LaPr6Sm3, computed with PBE-GGA.

Geometry as POSCAR:
```
LaPr6Sm3
1.0
-7.265 -1.876 6.854
0.785 -8.040 6.166
-0.203 -1.050 7.031
La Pr Sm
1 6 3
Direct
0.901 0.901 0.298 La
0.900 0.573 0.301 Pr
0.227 0.900 0.301 Pr
0.573 0.227 0.301 Pr
0.075 0.400 0.801 Pr
0.724 0.075 0.801 Pr
0.400 0.724 0.801 Pr
0.401 0.401 0.798 Sm
0.648 0.648 0.055 Sm
0.152 0.152 0.543 Sm
```

Summary:
The polymorph energy (0 for the lowest one) comes out at 88 meV/atom. Its crystal system is trigonal. The value obtained for the uncorrected energy is -45.62 eV per formula unit. Its formation energy is 215 meV per atom. The size of the total moment comes out at 0.00 μB per formula unit.

Record 2
An optimized crystal structure of La2Pr3Sm3, computed with PBE-GGA.

Geometry as POSCAR:
```
La2Pr3Sm3
1.0
-4.893 0.893 -1.578
0.849 -2.890 -4.266
-1.179 -7.496 8.041
La Pr Sm
2 3 3
Direct
0.750 0.250 0.500 La
0.250 0.750 0.500 La
0.124 0.124 0.247 Pr
0.000 0.500 0.000 Pr
0.876 0.876 0.753 Pr
0.624 0.624 0.247 Sm
0.376 0.376 0.753 Sm
0.500 0.000 0.000 Sm
```

Summary:
The polymorph energy (0 for the lowest one) comes out at 0 meV/atom. Its crystal system is orthorhombic. The value obtained for the uncorrected energy is -38.24 eV per formula unit. Its formation energy is 14 meV per atom. The size of the total moment comes out at 0.00 μB per formula unit.

Record 3
An optimized crystal structure of La5Pr2Sm5, computed with PBE-GGA.

Geometry as POSCAR:
```
La5Pr2Sm5
1.0
-3.054 -3.164 2.817
3.660 -10.108 -2.543
2.507 0.285 7.880
La Pr Sm
5 2 5
Direct
0.668 0.249 0.415 La
0.000 0.249 0.751 La
0.000 0.751 0.249 La
0.332 0.751 0.585 La
0.000 0.000 0.000 La
0.334 0.500 0.832 Pr
0.666 0.500 0.168 Pr
0.000 0.500 0.500 Sm
0.667 0.749 0.916 Sm
0.333 0.000 0.334 Sm
0.667 0.000 0.666 Sm
0.333 0.251 0.084 Sm
```

Summary:
Its crystal system is monoclinic. The value obtained for the uncorrected energy is -57.57 eV per formula unit. Its formation energy is 19 meV per atom. The size of the total moment comes out at 0.00 μB per formula unit.

Record 4
An optimized crystal structure of La2Pr7Sm3, computed with PBE-GGA.

Geometry as POSCAR:
```
La2Pr7Sm3
1.0
-3.164 1.095 -1.522
-3.042 -2.091 4.819
2.377 17.706 7.796
La Pr Sm
2 7 3
Direct
0.500 0.702 0.297 La
0.500 0.298 0.703 La
0.500 0.743 0.464 Pr
0.500 0.257 0.536 Pr
0.000 0.680 0.144 Pr
0.000 0.000 0.000 Pr
0.000 0.320 0.856 Pr
0.500 0.818 0.823 Pr
0.500 0.182 0.177 Pr
0.500 0.500 0.000 Sm
0.000 0.214 0.369 Sm
0.000 0.786 0.631 Sm
```

Summary:
The polymorph energy (0 for the lowest one) comes out at 20 meV/atom. Its crystal system is monoclinic. The value obtained for the uncorrected energy is -56.46 eV per formula unit. Its formation energy is 84 meV per atom. The size of the total moment comes out at 0.00 μB per formula unit.

Record 5
An optimized crystal structure of La2Pr3Sm5, computed with PBE-GGA.

Geometry as POSCAR:
```
La2Pr3Sm5
1.0
6.644 0.000 0.000
3.322 10.371 -2.657
3.322 -1.025 10.657
La Pr Sm
4 6 10
Direct
0.081 0.752 0.086 La
0.581 0.086 0.752 La
0.919 0.248 0.914 La
0.419 0.914 0.248 La
0.407 0.425 0.761 Pr
0.907 0.761 0.425 Pr
0.593 0.575 0.239 Pr
0.093 0.239 0.575 Pr
0.250 0.000 0.000 Pr
0.750 0.000 0.000 Pr
0.240 0.428 0.093 Sm
0.740 0.093 0.428 Sm
0.760 0.572 0.907 Sm
0.260 0.907 0.572 Sm
0.500 0.750 0.750 Sm
0.500 0.250 0.250 Sm
0.750 0.500 0.500 Sm
0.250 0.500 0.500 Sm
0.000 0.250 0.250 Sm
0.000 0.750 0.750 Sm
```

Summary:
The polymorph energy (0 for the lowest one) comes out at 85 meV/atom. Its crystal system is orthorhombic. The value obtained for the uncorrected energy is -45.31 eV per formula unit. Its formation energy is 248 meV per atom. The size of the total moment comes out at 0.00 μB per formula unit.

Record 6
An optimized crystal structure of La4Pr5Sm, computed with PBE-GGA.

Geometry as POSCAR:
```
La4Pr5Sm
1.0
6.140 0.000 0.000
0.000 10.794 0.000
0.000 0.000 10.790
La Pr Sm
8 10 2
Direct
0.630 0.000 0.701 La
0.630 0.701 0.000 La
0.630 0.299 0.000 La
0.630 0.000 0.299 La
0.370 0.500 0.201 La
0.370 0.799 0.500 La
0.370 0.201 0.500 La
0.370 0.500 0.799 La
0.155 0.840 0.840 Pr
0.155 0.160 0.840 Pr
0.000 0.500 0.000 Pr
0.155 0.840 0.160 Pr
0.155 0.160 0.160 Pr
0.845 0.660 0.340 Pr
0.845 0.340 0.340 Pr
0.000 0.000 0.500 Pr
0.845 0.340 0.660 Pr
0.845 0.660 0.660 Pr
0.671 0.000 0.000 Sm
0.329 0.500 0.500 Sm
```

Summary:
The polymorph energy (0 for the lowest one) comes out at 0 meV/atom. Its crystal system is tetragonal. The value obtained for the uncorrected energy is -46.97 eV per formula unit. Its formation energy is 135 meV per atom. The size of the total moment comes out at 0.00 μB per formula unit.

Record 7
An optimized crystal structure of La3PrSm12, computed with PBE-GGA.

Geometry as POSCAR:
```
La3PrSm12
1.0
5.174 0.000 0.000
0.000 5.174 0.000
0.000 0.000 20.663
La Pr Sm
3 1 12
Direct
0.000 0.000 0.250 La
0.000 0.000 0.500 La
0.000 0.000 0.750 La
0.000 0.000 0.000 Pr
0.500 0.500 0.000 Sm
0.500 0.500 0.249 Sm
0.500 0.500 0.500 Sm
0.500 0.500 0.751 Sm
0.500 0.000 0.124 Sm
0.500 0.000 0.375 Sm
0.500 0.000 0.625 Sm
0.500 0.000 0.876 Sm
0.000 0.500 0.124 Sm
0.000 0.500 0.375 Sm
0.000 0.500 0.625 Sm
0.000 0.500 0.876 Sm
```

Summary:
Its crystal system is tetragonal. The value obtained for the uncorrected energy is -75.91 eV per formula unit. Its formation energy is 17 meV per atom. The size of the total moment comes out at 0.00 μB per formula unit.

Record 8
An optimized crystal structure of La4PrSm15, computed with PBE-GGA.

Geometry as POSCAR:
```
La4PrSm15
1.0
5.183 0.000 0.000
0.000 5.183 0.000
0.000 0.000 25.803
La Pr Sm
4 1 15
Direct
0.000 0.000 0.200 La
0.000 0.000 0.400 La
0.000 0.000 0.600 La
0.000 0.000 0.800 La
0.000 0.000 0.000 Pr
0.500 0.500 0.000 Sm
0.500 0.500 0.200 Sm
0.500 0.500 0.400 Sm
0.500 0.500 0.600 Sm
0.500 0.500 0.800 Sm
0.500 0.000 0.100 Sm
0.500 0.000 0.300 Sm
0.500 0.000 0.500 Sm
0.500 0.000 0.700 Sm
0.500 0.000 0.900 Sm
0.000 0.500 0.100 Sm
0.000 0.500 0.300 Sm
0.000 0.500 0.500 Sm
0.000 0.500 0.700 Sm
0.000 0.500 0.900 Sm
```

Summary:
Its crystal system is tetragonal. The value obtained for the uncorrected energy is -94.90 eV per formula unit. Its formation energy is 19 meV per atom. The size of the total moment comes out at 0.00 μB per formula unit.